VASP calculation (meta-GGA SCAN) on SiAgP2 at its PBEsol-relaxed geometry.

Summary:
* space-group type: I4/mmm
* E_form (uncorrected): 695 meV per atom
* theoretical density: 5.34 g/cm3
* VASP energy: -59.40 eV per cell
* crystal system: tetragonal

```
SiAgP2
1.0
-3.2672 -0.2731 -2.8273
2.1735 -3.7075 0.5224
-1.2659 0.8041 4.0613
P Ag Si
2 1 1
Direct
0.5000 0.7500 0.2500 P
0.5000 0.2500 0.7500 P
0.0000 0.5000 0.5000 Ag
0.0000 0.0000 0.0000 Si
```